LiTb5Sn3: relaxed, PBE.

abc: 9.2511 9.2511 6.5686
angles: 90.00 90.00 120.00
Last column: nearest neighbours and their distance in Å.
Space group P6_3/mcm (No. 193)
Inequivalent atoms, fractional coordinates:
Li: 0.0000 0.0000 0.0000 (multiplicity 2)  6 Tb 3.09, 2 Li 3.28
Tb: 0.0000 0.2835 0.2500 (multiplicity 6)  2 Li 3.09, 5 Sn 3.11-3.38
Tb: 0.3333 0.6667 0.0000 (multiplicity 4)  2 Tb 3.28, 6 Sn 3.35
Sn: 0.0000 0.3711 0.7500 (multiplicity 6)  9 Tb 3.11-3.38

Calculated values
total moment: 0.01 μB/atom
E: -0.1729 hartree per atom